No. 1
Here is a relaxed structure of PuCdInCl6 from the Alexandria database. Energies are from PBE.

Calculated values
E_form (uncorrected) ... -1390 meV/atom
Space group ... P-31c

extended XYZ file:
```
18
Lattice="-1.0943 2.0183 6.6992 -5.3987 -0.1468 -4.5807 -2.5957 -12.9376 3.4739" Properties=species:S:1:pos:R:3 pbc="T T T"
Pu -5.9107 -9.1283 1.7847
Pu -3.1781 -1.9378 3.8077
In -1.2979 -6.4688 1.7369
In 0.0000 0.0000 0.0000
Cl -2.1022 -7.5290 4.6754
Cl -6.1238 -1.2184 -1.6258
Cl -4.3757 -4.7412 -1.6167
Cl -6.9866 -3.5371 0.9170
Cl -3.3352 -3.9809 1.9924
Cl -4.7131 -6.3248 7.2091
Cl -4.4844 -0.6307 1.7879
Cl -2.3715 -1.8484 -1.1683
Cl -4.6044 -10.4353 3.8045
Cl -2.9650 -9.8476 7.2182
Cl -6.7173 -9.2176 6.7607
Cl -5.7536 -7.0851 3.6000
Cd -4.4759 -8.4066 5.5446
Cd -4.6129 -2.6595 0.0477
```

No. 2
Here is a relaxed structure of RbCdInCl6 from the Alexandria database. Energies are from PBE.

Calculated values
E_form (uncorrected) ... -1327 meV/atom
Space group ... P312

extended XYZ file:
```
9
Lattice="-1.0481 6.7310 0.3109 -1.9578 2.8788 5.8636 6.9902 1.0034 1.8412" Properties=species:S:1:pos:R:3 pbc="T T T"
Cl 4.5136 3.2189 1.4804
Cl 3.6964 2.5705 4.9358
Cl 3.5519 5.9396 3.6487
Cl 0.4677 4.5602 4.2946
Cl 1.3948 4.5039 0.8061
Cl 1.3344 1.4358 2.7074
In 2.4926 3.7048 2.9787
Cd 1.4915 6.9080 5.0370
Rb 3.9841 10.6129 8.0157
```

No. 3
Here is a relaxed structure of Rb4Cd3InCl12 from the Alexandria database. Energies are from PBE.

Calculated values
E_form (uncorrected) ... -1418 meV/atom
Space group ... Im-3m

extended XYZ file:
```
20
Lattice="9.2119 0.0000 0.0000 -3.0706 8.6850 0.0000 -3.0706 -4.3425 7.5215" Properties=species:S:1:pos:R:3 pbc="T T T"
Cd 3.0706 4.3425 0.0000
Cd 3.0706 -2.1713 3.7607
Cd -3.0706 2.1713 3.7607
Cl -4.6098 3.2596 5.6458
Cl 1.5315 2.1658 0.0000
Cl -1.5353 4.3425 3.7607
Cl 4.6059 0.0000 3.7607
Cl 4.6098 -3.2596 5.6458
Cl 1.5353 -1.0856 5.6411
Cl 1.5353 5.4281 1.8804
Cl 4.6098 6.5192 0.0000
Cl 1.5315 -1.0829 1.8756
Cl 4.6059 3.2569 1.8804
Cl -1.5353 1.0856 5.6411
Cl -1.5315 1.0829 1.8756
Rb -1.5353 4.3425 0.0000
Rb 1.5353 2.1713 3.7607
Rb 4.6059 0.0000 0.0000
Rb -1.5353 -2.1713 3.7607
In 0.0000 0.0000 0.0000
```

No. 4
Here is a relaxed structure of RbCd2In2Cl7 from the Alexandria database. Energies are from PBE.

Calculated values
E_form (uncorrected) ... -1131 meV/atom
Space group ... C2/m

extended XYZ file:
```
12
Lattice="-2.8789 -4.0051 -2.0059 0.9167 -2.9330 4.3485 -11.7184 2.1019 6.6449" Properties=species:S:1:pos:R:3 pbc="T T T"
Cd -3.1472 -2.4120 2.2868
Cd -10.5335 -2.4241 6.7008
Cl -11.0299 -0.8027 4.5832
Cl -8.3528 -3.1412 5.5192
Cl -5.3278 -1.6949 3.4683
Cl -9.1839 -0.2814 7.6737
Cl -0.9811 -3.4690 1.1713
Cl -4.4967 -4.5548 1.3139
Cl -2.6507 -4.0334 4.4043
Rb 0.0000 0.0000 0.0000
In -7.9120 -0.2869 4.7744
In -5.7686 -4.5492 4.2132
```

No. 5
Here is a relaxed structure of RbCdIn2Cl8 from the Alexandria database. Energies are from PBE.

Calculated values
E_form (uncorrected) ... -1120 meV/atom
Space group ... R-3

extended XYZ file:
```
12
Lattice="6.8143 0.0000 0.0000 3.4072 5.9014 0.0000 3.4072 1.9671 9.6711" Properties=species:S:1:pos:R:3 pbc="T T T"
Cl 7.8390 5.8884 8.0853
Cl 9.0190 4.0239 1.5858
Cl 4.6096 3.8446 8.0853
Cl 7.9943 2.0697 8.0853
Cl 5.7896 1.9801 1.5858
Cl 5.6343 5.7987 1.5858
Cl 10.2215 5.9014 4.9506
Cl 3.4072 1.9671 4.7205
Cd 0.0000 0.0000 0.0000
In 3.4072 1.9671 2.2871
In 10.2215 5.9014 7.3841
Rb 6.8143 3.9342 4.8356
```

No. 6
Here is a relaxed structure of Rb2CdInCl6 from the Alexandria database. Energies are from PBE.

Calculated values
E_form (uncorrected) ... -1398 meV/atom
Space group ... I4/mmm

extended XYZ file:
```
10
Lattice="-2.5148 -1.5629 -6.9651 7.1174 -1.1125 -2.3202 1.9149 -6.5313 -3.3377" Properties=species:S:1:pos:R:3 pbc="T T T"
Cl 4.4085 -5.2852 -8.6295
Cl -0.0927 -1.4496 -5.7971
Cl 2.1091 -3.9215 -3.9934
Cl 3.4453 -2.0026 -6.9504
Cl 1.1574 -0.6727 -2.3349
Cl 4.6953 -1.2257 -3.4882
Rb 0.8507 -4.7159 -7.4727
Rb 5.6668 -4.4907 -5.1503
In 0.0000 0.0000 0.0000
Cd 2.3013 -1.3377 -4.6426
```

No. 7
Here is a relaxed structure of RbCd2InCl from the Alexandria database. Energies are from PBE.

Calculated values
E_form (uncorrected) ... -104 meV/atom
Space group ... P4/mmm

extended XYZ file:
```
5
Lattice="-5.6106 1.5843 -1.6091 0.4455 -3.2944 -4.7970 -2.2105 -4.7343 3.0461" Properties=species:S:1:pos:R:3 pbc="T T T"
Cd -1.1053 -2.3672 1.5230
Cd -2.8053 0.7922 -0.8046
Cl 0.0000 0.0000 0.0000
In -3.6878 -3.2222 -1.6800
Rb 0.2228 -1.6472 -2.3985
```

No. 8
Here is a relaxed structure of RbCd2InCl8 from the Alexandria database. Energies are from PBE.

Calculated values
E_form (uncorrected) ... -1198 meV/atom
Space group ... P-1

extended XYZ file:
```
12
Lattice="-4.5385 -3.9122 -2.4755 2.8992 -5.8026 0.0336 -3.5012 -3.8175 7.5427" Properties=species:S:1:pos:R:3 pbc="T T T"
Rb -1.7506 -1.9087 3.7714
Cd -1.8623 -6.4977 0.6591
Cd -3.2782 -7.0346 4.4417
Cl -3.8779 -6.2026 6.8226
Cl -2.3478 -5.1611 3.0549
Cl 0.5805 -5.7600 1.1862
Cl -1.5796 -8.8046 5.3211
Cl -3.5609 -4.7277 -0.2202
Cl -1.2626 -7.3297 -1.7217
Cl -5.7210 -7.7723 3.9147
Cl -2.7927 -8.3712 2.0459
In 0.0000 0.0000 0.0000
```

No. 9
Here is a relaxed structure of RbCd2InCl6 from the Alexandria database. Energies are from PBE.

Calculated values
E_form (uncorrected) ... -1206 meV/atom
Space group ... C2/c

extended XYZ file:
```
20
Lattice="-6.1980 4.2721 1.0908 -4.3776 -5.3729 6.9560 3.0783 5.2533 7.7036" Properties=species:S:1:pos:R:3 pbc="T T T"
Cd -3.1783 -0.0750 10.6574
Cd -2.6777 0.0138 4.4015
Cd -4.3190 4.2275 5.0931
Cd -4.8196 4.1386 11.3489
Cl -4.4100 3.7837 13.7360
Cl -3.9053 1.7804 5.8334
Cl -3.0873 0.3687 2.0145
Cl -4.6344 4.7165 2.7155
Cl -3.5920 2.3720 9.9171
Cl -3.2160 -2.2155 5.2823
Cl -5.0254 -1.2453 9.5374
Cl -2.8629 -0.5641 13.0350
Cl -2.4719 5.3977 6.2130
Cl -0.2914 0.3782 5.3396
Cl -7.2059 3.7743 10.4109
Cl -4.2813 6.3679 10.4682
Rb -6.6379 1.2349 8.0136
Rb -0.8595 2.9176 7.7368
In -2.2607 7.4733 8.4525
In -5.2367 -3.3209 7.2980
```

No. 10
Here is a relaxed structure of RbCdInCl4 from the Alexandria database. Energies are from PBE.

Calculated values
E_form (uncorrected) ... -1261 meV/atom
Space group ... P2_1/m

extended XYZ file:
```
14
Lattice="7.8118 0.0000 -0.0737 0.0000 7.5294 0.0000 -3.1350 0.0000 8.6842" Properties=species:S:1:pos:R:3 pbc="T T T"
Rb 2.7569 5.6470 8.2418
Rb 1.9199 1.8823 0.3688
Cl 2.7904 1.8823 3.6000
Cl 3.0118 5.6470 1.0956
Cl -0.4458 0.0392 2.1251
Cl 5.1226 7.4901 6.4855
Cl -0.4458 3.7255 2.1251
Cl 5.1226 3.8039 6.4855
Cl 1.6650 1.8823 7.5150
Cl 1.8864 5.6470 5.0106
Cd 1.0862 5.6470 2.6497
Cd 3.5906 1.8823 5.9609
In -0.0726 1.8823 4.4808
In 4.7494 5.6470 4.1298
```

No. 11
Here is a relaxed structure of CdInS2Cl from the Alexandria database. Energies are from PBE.

Calculated values
Energy relative to the lowest polymorph listed for this composition ... 0 kJ/mol of formula units
E_form (uncorrected) ... -44 meV/atom
Space group ... P4/mmm

extended XYZ file:
```
5
Lattice="-2.7901 -2.5041 3.4269 -0.5491 -3.8537 -3.2629 4.1714 -2.1437 1.8298" Properties=species:S:1:pos:R:3 pbc="T T T"
In 0.0000 0.0000 0.0000
S -0.2745 -1.9268 -1.6315
S -1.3951 -1.2520 1.7135
Cd 0.4161 -4.2507 0.9969
Cl 2.0857 -1.0719 0.9149
```

No. 12
Here is a relaxed structure of CdInS2Cl from the Alexandria database. Energies are from PBE.

Calculated values
Energy relative to the lowest polymorph listed for this composition ... 32 kJ/mol of formula units
E_form (uncorrected) ... 23 meV/atom
Space group ... P4/mmm

extended XYZ file:
```
5
Lattice="-3.7594 3.2854 0.6599 -2.3071 -1.8182 -4.0908 -2.6078 -3.6009 3.0712" Properties=species:S:1:pos:R:3 pbc="T T T"
S -1.8797 1.6427 0.3300
S -1.1535 -0.9091 -2.0454
Cl -1.3039 -1.8004 1.5356
Cd 0.0000 0.0000 0.0000
In -4.3371 -1.0668 -0.1798
```

Which of these has the highest E_form (uncorrected)?
number 12

E_form (uncorrected) of number 9 (RbCd2InCl6)?
-1206 meV/atom

What did the ninth record say?
Here is a relaxed structure of RbCd2InCl6 from the Alexandria database. Energies are from PBE.

Calculated values
E_form (uncorrected) ... -1206 meV/atom
Space group ... C2/c

extended XYZ file:
```
20
Lattice="-6.1980 4.2721 1.0908 -4.3776 -5.3729 6.9560 3.0783 5.2533 7.7036" Properties=species:S:1:pos:R:3 pbc="T T T"
Cd -3.1783 -0.0750 10.6574
Cd -2.6777 0.0138 4.4015
Cd -4.3190 4.2275 5.0931
Cd -4.8196 4.1386 11.3489
Cl -4.4100 3.7837 13.7360
Cl -3.9053 1.7804 5.8334
Cl -3.0873 0.3687 2.0145
Cl -4.6344 4.7165 2.7155
Cl -3.5920 2.3720 9.9171
Cl -3.2160 -2.2155 5.2823
Cl -5.0254 -1.2453 9.5374
Cl -2.8629 -0.5641 13.0350
Cl -2.4719 5.3977 6.2130
Cl -0.2914 0.3782 5.3396
Cl -7.2059 3.7743 10.4109
Cl -4.2813 6.3679 10.4682
Rb -6.6379 1.2349 8.0136
Rb -0.8595 2.9176 7.7368
In -2.2607 7.4733 8.4525
In -5.2367 -3.3209 7.2980
```

E_form (uncorrected) of number 10 (RbCdInCl4)?
-1261 meV/atom